# BaErP2Se8 PBE optimized geometry
# total DFT energy (no corrections) = -4.46 eV/atom
# DOS(E_F) = 11.6 states/eV per cell
# total magnetic moment = 0.00 μB/f.u.
# formation energy from raw total energies = -0.6964 eV/atom
data_BaErP2Se8
_chemical_formula_sum 'Ba1 Er1 P2 Se8'
_symmetry_space_group_name_H-M 'P -3'
_symmetry_Int_Tables_number 147
_cell_length_a 6.3216
_cell_length_b 6.3216
_cell_length_c 9.6056
_cell_angle_alpha 90.00
_cell_angle_beta 90.00
_cell_angle_gamma 120.00
loop_
_symmetry_equiv_pos_as_xyz
'x,y,z'
'-x,-y,-z'
'-y,x-y,z'
'y,-x+y,-z'
'-x+y,-x,z'
'x-y,x,-z'
loop_
_atom_site_label
_atom_site_type_symbol
_atom_site_fract_x
_atom_site_fract_y
_atom_site_fract_z
Ba1 Ba 0.0000 0.0000 0.0000
Er1 Er 0.0000 0.0000 0.5000
P1 P 0.3333 0.6667 0.7516
Se1 Se 0.0232 0.6617 0.3111
Se2 Se 0.3333 0.6667 0.9817